[1]
# Cs4Sm3InSe8 (PBE, optimized geometry)
# SG: R-3m
# E_tot (Ry per atom): -0.32989
# Raw formation energy (meV per atom): -1476.7
data_Cs4Sm3InSe8
_chemical_formula_sum 'Cs4 Sm3 In1 Se8'
_space_group_name_H-M_alt 'P 1'
_space_group_IT_number 1
_cell_length_a 9.769
_cell_length_b 9.769
_cell_length_c 9.769
_cell_angle_alpha 52.48
_cell_angle_beta 52.48
_cell_angle_gamma 52.48
loop_
_space_group_symop_operation_xyz
'x,y,z'
loop_
_atom_site_label
_atom_site_type_symbol
_atom_site_fract_x
_atom_site_fract_y
_atom_site_fract_z
Cs1 Cs 0.000 0.000 0.000
Cs2 Cs 0.000 0.500 0.500
Cs3 Cs 0.500 0.000 0.500
Cs4 Cs 0.500 0.500 0.000
Sm1 Sm 0.000 0.000 0.500
Sm2 Sm 0.000 0.500 0.000
Sm3 Sm 0.500 0.000 0.000
In1 In 0.500 0.500 0.500
Se1 Se 0.230 0.230 0.230
Se2 Se 0.237 0.725 0.725
Se3 Se 0.275 0.275 0.763
Se4 Se 0.275 0.763 0.275
Se5 Se 0.725 0.237 0.725
Se6 Se 0.725 0.725 0.237
Se7 Se 0.763 0.275 0.275
Se8 Se 0.770 0.770 0.770

***

[2]
# Al2Tl2W (PBE, optimized geometry)
# SG: I4/mmm
# E_tot (Ry per atom): -0.29164
# D(E_F) (states/eV/cell): 2.56
# Energy of formation (eV/atom): 1.066
data_Al2Tl2W
_chemical_formula_sum 'Al2 Tl2 W1'
_space_group_name_H-M_alt 'P 1'
_space_group_IT_number 1
_cell_length_a 7.945
_cell_length_b 7.945
_cell_length_c 7.945
_cell_angle_alpha 151.70
_cell_angle_beta 151.70
_cell_angle_gamma 40.46
loop_
_space_group_symop_operation_xyz
'x,y,z'
loop_
_atom_site_label
_atom_site_type_symbol
_atom_site_fract_x
_atom_site_fract_y
_atom_site_fract_z
Al1 Al 0.082 0.082 0.000
Al2 Al 0.918 0.918 0.000
Tl1 Tl 0.250 0.750 0.500
Tl2 Tl 0.750 0.250 0.500
W1 W 0.500 0.500 0.000

***

[3]
# TbDyTm2 (PBE, optimized geometry)
# SG: P2/c
# E_tot (Ry per atom): -0.33366
# D(E_F) (states/eV/cell): 28.69
# Energy of formation (eV/atom): 0.004
data_TbDyTm2
_chemical_formula_sum 'Tb4 Dy4 Tm8'
_space_group_name_H-M_alt 'P 1'
_space_group_IT_number 1
_cell_length_a 6.209
_cell_length_b 7.188
_cell_length_c 11.158
_cell_angle_alpha 90.00
_cell_angle_beta 90.00
_cell_angle_gamma 90.00
loop_
_space_group_symop_operation_xyz
'x,y,z'
loop_
_atom_site_label
_atom_site_type_symbol
_atom_site_fract_x
_atom_site_fract_y
_atom_site_fract_z
Tb1 Tb 0.166 0.249 0.376
Tb2 Tb 0.166 0.751 0.876
Tb3 Tb 0.834 0.249 0.124
Tb4 Tb 0.834 0.751 0.624
Dy1 Dy 0.333 0.500 0.125
Dy2 Dy 0.333 0.500 0.625
Dy3 Dy 0.667 0.500 0.375
Dy4 Dy 0.667 0.500 0.875
Tm1 Tm 0.168 0.248 0.874
Tm2 Tm 0.168 0.752 0.374
Tm3 Tm 0.333 0.000 0.125
Tm4 Tm 0.333 0.000 0.625
Tm5 Tm 0.667 0.000 0.375
Tm6 Tm 0.667 0.000 0.875
Tm7 Tm 0.832 0.248 0.626
Tm8 Tm 0.832 0.752 0.126

***

[4]
# LiCaSm (PBE, optimized geometry)
# SG: I4mm
# E_tot (Ry per atom): -0.20262
# D(E_F) (states/eV/cell): 4.18
# Energy of formation (eV/atom): 0.121
data_LiCaSm
_chemical_formula_sum 'Li1 Ca1 Sm1'
_space_group_name_H-M_alt 'P 1'
_space_group_IT_number 1
_cell_length_a 7.437
_cell_length_b 7.437
_cell_length_c 7.437
_cell_angle_alpha 151.38
_cell_angle_beta 151.38
_cell_angle_gamma 40.92
loop_
_space_group_symop_operation_xyz
'x,y,z'
loop_
_atom_site_label
_atom_site_type_symbol
_atom_site_fract_x
_atom_site_fract_y
_atom_site_fract_z
Li1 Li 0.000 0.000 0.000
Ca1 Ca 0.347 0.347 0.000
Sm1 Sm 0.647 0.647 0.000

***

[5]
# InSnAu2 (PBE, optimized geometry)
# SG: R3m
# E_tot (Ry per atom): -0.25416
# D(E_F) (states/eV/cell): 1.44
# Energy of formation (eV/atom): -0.134
data_InSnAu2
_chemical_formula_sum 'In1 Sn1 Au2'
_space_group_name_H-M_alt 'P 1'
_space_group_IT_number 1
_cell_length_a 7.293
_cell_length_b 7.293
_cell_length_c 7.293
_cell_angle_alpha 31.73
_cell_angle_beta 31.73
_cell_angle_gamma 31.73
loop_
_space_group_symop_operation_xyz
'x,y,z'
loop_
_atom_site_label
_atom_site_type_symbol
_atom_site_fract_x
_atom_site_fract_y
_atom_site_fract_z
In1 In 0.000 0.000 0.000
Sn1 Sn 0.830 0.830 0.830
Au1 Au 0.249 0.249 0.249
Au2 Au 0.415 0.415 0.415

***

[6]
# Pu3GeBi2 (PBE, optimized geometry)
# SG: C2/c
# E_tot (Ry per atom): -0.70296
# D(E_F) (states/eV/cell): 51.68
# Energy of formation (eV/atom): -0.335
data_Pu3GeBi2
_chemical_formula_sum 'Pu6 Ge2 Bi4'
_space_group_name_H-M_alt 'P 1'
_space_group_IT_number 1
_cell_length_a 9.161
_cell_length_b 9.161
_cell_length_c 6.356
_cell_angle_alpha 90.05
_cell_angle_beta 90.05
_cell_angle_gamma 143.15
loop_
_space_group_symop_operation_xyz
'x,y,z'
loop_
_atom_site_label
_atom_site_type_symbol
_atom_site_fract_x
_atom_site_fract_y
_atom_site_fract_z
Pu1 Pu 0.000 0.000 0.000
Pu2 Pu 0.000 0.000 0.500
Pu3 Pu 0.328 0.672 0.506
Pu4 Pu 0.328 0.672 0.994
Pu5 Pu 0.672 0.328 0.006
Pu6 Pu 0.672 0.328 0.494
Ge1 Ge 0.166 0.834 0.250
Ge2 Ge 0.834 0.166 0.750
Bi1 Bi 0.164 0.836 0.750
Bi2 Bi 0.500 0.500 0.250
Bi3 Bi 0.500 0.500 0.750
Bi4 Bi 0.836 0.164 0.250

***

[7]
# PrDy3In2 (PBE, optimized geometry)
# SG: C2/m
# E_tot (Ry per atom): -0.31325
# D(E_F) (states/eV/cell): 12.99
# Energy of formation (eV/atom): -0.252
data_PrDy3In2
_chemical_formula_sum 'Pr2 Dy6 In4'
_space_group_name_H-M_alt 'P 1'
_space_group_IT_number 1
_cell_length_a 8.632
_cell_length_b 8.632
_cell_length_c 9.263
_cell_angle_alpha 117.65
_cell_angle_beta 117.65
_cell_angle_gamma 36.46
loop_
_space_group_symop_operation_xyz
'x,y,z'
loop_
_atom_site_label
_atom_site_type_symbol
_atom_site_fract_x
_atom_site_fract_y
_atom_site_fract_z
Pr1 Pr 0.131 0.131 0.171
Pr2 Pr 0.869 0.869 0.829
Dy1 Dy 0.060 0.060 0.714
Dy2 Dy 0.307 0.307 0.008
Dy3 Dy 0.384 0.384 0.458
Dy4 Dy 0.616 0.616 0.542
Dy5 Dy 0.693 0.693 0.992
Dy6 Dy 0.940 0.940 0.286
In1 In 0.226 0.226 0.594
In2 In 0.482 0.482 0.832
In3 In 0.518 0.518 0.168
In4 In 0.774 0.774 0.406

***

[8]
# CrGaC3 (PBE, optimized geometry)
# SG: Pm-3m
# E_tot (Ry per atom): -0.46874
# D(E_F) (states/eV/cell): 2.25
# Energy of formation (eV/atom): 1.687
data_CrGaC3
_chemical_formula_sum 'Cr1 Ga1 C3'
_space_group_name_H-M_alt 'P 1'
_space_group_IT_number 1
_cell_length_a 3.860
_cell_length_b 3.860
_cell_length_c 3.860
_cell_angle_alpha 90.00
_cell_angle_beta 90.00
_cell_angle_gamma 90.00
loop_
_space_group_symop_operation_xyz
'x,y,z'
loop_
_atom_site_label
_atom_site_type_symbol
_atom_site_fract_x
_atom_site_fract_y
_atom_site_fract_z
Cr1 Cr 0.000 0.000 0.000
Ga1 Ga 0.500 0.500 0.500
C1 C 0.000 0.000 0.500
C2 C 0.000 0.500 0.000
C3 C 0.500 0.000 0.000

***

[9]
# NaZn2Pb (PBE, optimized geometry)
# SG: I-42d
# E_tot (Ry per atom): -0.12296
# D(E_F) (states/eV/cell): 3.51
# Energy of formation (eV/atom): 0.221
data_NaZn2Pb
_chemical_formula_sum 'Na2 Zn4 Pb2'
_space_group_name_H-M_alt 'P 1'
_space_group_IT_number 1
_cell_length_a 10.727
_cell_length_b 10.727
_cell_length_c 10.727
_cell_angle_alpha 156.47
_cell_angle_beta 156.47
_cell_angle_gamma 33.53
loop_
_space_group_symop_operation_xyz
'x,y,z'
loop_
_atom_site_label
_atom_site_type_symbol
_atom_site_fract_x
_atom_site_fract_y
_atom_site_fract_z
Na1 Na 0.000 0.000 0.000
Na2 Na 0.750 0.250 0.500
Zn1 Zn 0.119 0.625 0.994
Zn2 Zn 0.375 0.369 0.494
Zn3 Zn 0.631 0.125 0.006
Zn4 Zn 0.875 0.881 0.506
Pb1 Pb 0.250 0.750 0.500
Pb2 Pb 0.500 0.500 0.000

***

[10]
# LaTb4Sc2 (PBE, optimized geometry)
# SG: P1
# E_tot (Ry per atom): -0.37488
# D(E_F) (states/eV/cell): 23.12
# Energy of formation (eV/atom): 0.058
data_LaTb4Sc2
_chemical_formula_sum 'La2 Tb8 Sc4'
_space_group_name_H-M_alt 'P 1'
_space_group_IT_number 1
_cell_length_a 6.958
_cell_length_b 8.456
_cell_length_c 8.665
_cell_angle_alpha 115.56
_cell_angle_beta 100.29
_cell_angle_gamma 101.46
loop_
_space_group_symop_operation_xyz
'x,y,z'
loop_
_atom_site_label
_atom_site_type_symbol
_atom_site_fract_x
_atom_site_fract_y
_atom_site_fract_z
La1 La 0.000 0.000 0.000
La2 La 0.295 0.688 0.564
Tb1 Tb 0.018 0.838 0.301
Tb2 Tb 0.112 0.563 0.895
Tb3 Tb 0.388 0.416 0.155
Tb4 Tb 0.407 0.239 0.434
Tb5 Tb 0.506 0.014 0.025
Tb6 Tb 0.612 0.565 0.890
Tb7 Tb 0.705 0.120 0.718
Tb8 Tb 0.905 0.248 0.431
Sc1 Sc 0.210 0.137 0.725
Sc2 Sc 0.520 0.835 0.291
Sc3 Sc 0.786 0.672 0.538
Sc4 Sc 0.882 0.416 0.153

***

[11]
# SrLiAg2Cl6 (PBE, optimized geometry)
# SG: P1
# E_tot (Ry per atom): -0.24307
# D(E_F) (states/eV/cell): 4.98
# Raw formation energy (meV per atom): -1269.3
data_SrLiAg2Cl6
_chemical_formula_sum 'Sr1 Li1 Ag2 Cl6'
_space_group_name_H-M_alt 'P 1'
_space_group_IT_number 1
_cell_length_a 6.810
_cell_length_b 6.821
_cell_length_c 7.357
_cell_angle_alpha 90.24
_cell_angle_beta 117.32
_cell_angle_gamma 119.94
loop_
_space_group_symop_operation_xyz
'x,y,z'
loop_
_atom_site_label
_atom_site_type_symbol
_atom_site_fract_x
_atom_site_fract_y
_atom_site_fract_z
Sr1 Sr 0.000 0.000 0.000
Li1 Li 0.983 0.490 0.477
Ag1 Ag 0.602 0.301 0.904
Ag2 Ag 0.615 0.807 0.423
Cl1 Cl 0.109 0.207 0.678
Cl2 Cl 0.111 0.439 0.197
Cl3 Cl 0.471 0.902 0.679
Cl4 Cl 0.524 0.085 0.195
Cl5 Cl 0.755 0.671 0.195
Cl6 Cl 0.777 0.568 0.679

***

[12]
# NpBeTe2 (PBE, optimized geometry)
# SG: R-3m
# E_tot (Ry per atom): -0.40082
# D(E_F) (states/eV/cell): 5.73
# Raw formation energy (meV per atom): 284.1
data_NpBeTe2
_chemical_formula_sum 'Np1 Be1 Te2'
_space_group_name_H-M_alt 'P 1'
_space_group_IT_number 1
_cell_length_a 9.586
_cell_length_b 9.586
_cell_length_c 9.586
_cell_angle_alpha 21.32
_cell_angle_beta 21.32
_cell_angle_gamma 21.32
loop_
_space_group_symop_operation_xyz
'x,y,z'
loop_
_atom_site_label
_atom_site_type_symbol
_atom_site_fract_x
_atom_site_fract_y
_atom_site_fract_z
Np1 Np 0.000 0.000 0.000
Be1 Be 0.500 0.500 0.500
Te1 Te 0.111 0.111 0.111
Te2 Te 0.889 0.889 0.889

***

[13]
# CuOsN2 (PBE, optimized geometry)
# SG: R-3m
# E_tot (Ry per atom): -0.54384
# D(E_F) (states/eV/cell): 3.34
# Raw formation energy (meV per atom): 594.8
data_CuOsN2
_chemical_formula_sum 'Cu1 Os1 N2'
_space_group_name_H-M_alt 'P 1'
_space_group_IT_number 1
_cell_length_a 6.456
_cell_length_b 6.456
_cell_length_c 6.456
_cell_angle_alpha 25.57
_cell_angle_beta 25.57
_cell_angle_gamma 25.57
loop_
_space_group_symop_operation_xyz
'x,y,z'
loop_
_atom_site_label
_atom_site_type_symbol
_atom_site_fract_x
_atom_site_fract_y
_atom_site_fract_z
Cu1 Cu 0.000 0.000 0.000
Os1 Os 0.500 0.500 0.500
N1 N 0.099 0.099 0.099
N2 N 0.901 0.901 0.901

***

[14]
# VReAsBr2 (PBE, optimized geometry)
# SG: P4/mmm
# E_tot (Ry per atom): -0.36171
# D(E_F) (states/eV/cell): 11.41
# Raw formation energy (meV per atom): 991.0
data_VReAsBr2
_chemical_formula_sum 'V1 Re1 As1 Br2'
_space_group_name_H-M_alt 'P 1'
_space_group_IT_number 1
_cell_length_a 5.227
_cell_length_b 5.227
_cell_length_c 4.749
_cell_angle_alpha 90.00
_cell_angle_beta 90.00
_cell_angle_gamma 90.00
loop_
_space_group_symop_operation_xyz
'x,y,z'
loop_
_atom_site_label
_atom_site_type_symbol
_atom_site_fract_x
_atom_site_fract_y
_atom_site_fract_z
V1 V 0.000 0.000 0.000
Re1 Re 0.500 0.500 0.500
As1 As 0.500 0.500 0.000
Br1 Br 0.000 0.500 0.500
Br2 Br 0.500 0.000 0.500

***

[15]
# Ti2CdP4 (PBE, optimized geometry)
# SG: I4/mmm
# E_tot (Ry per atom): -0.37366
# D(E_F) (states/eV/cell): 3.94
# Energy of formation (eV/atom): 0.394
data_Ti2CdP4
_chemical_formula_sum 'Ti2 Cd1 P4'
_space_group_name_H-M_alt 'P 1'
_space_group_IT_number 1
_cell_length_a 7.410
_cell_length_b 7.410
_cell_length_c 7.410
_cell_angle_alpha 142.14
_cell_angle_beta 142.14
_cell_angle_gamma 54.62
loop_
_space_group_symop_operation_xyz
'x,y,z'
loop_
_atom_site_label
_atom_site_type_symbol
_atom_site_fract_x
_atom_site_fract_y
_atom_site_fract_z
Ti1 Ti 0.098 0.098 0.000
Ti2 Ti 0.902 0.902 0.000
Cd1 Cd 0.500 0.500 0.000
P1 P 0.000 0.500 0.500
P2 P 0.272 0.272 0.000
P3 P 0.500 0.000 0.500
P4 P 0.728 0.728 0.000

***

[16]
# P2PdSe6 (PBE, optimized geometry)
# SG: C2/c
# E_tot (Ry per atom): -0.30104
# D(E_F) (states/eV/cell): 5.16
# Raw formation energy (meV per atom): 6.3
data_P2PdSe6
_chemical_formula_sum 'P4 Pd2 Se12'
_space_group_name_H-M_alt 'P 1'
_space_group_IT_number 1
_cell_length_a 8.621
_cell_length_b 8.621
_cell_length_c 6.371
_cell_angle_alpha 102.49
_cell_angle_beta 102.49
_cell_angle_gamma 85.07
loop_
_space_group_symop_operation_xyz
'x,y,z'
loop_
_atom_site_label
_atom_site_type_symbol
_atom_site_fract_x
_atom_site_fract_y
_atom_site_fract_z
P1 P 0.116 0.290 0.270
P2 P 0.290 0.116 0.770
P3 P 0.710 0.884 0.230
P4 P 0.884 0.710 0.730
Pd1 Pd 0.389 0.611 0.750
Pd2 Pd 0.611 0.389 0.250
Se1 Se 0.055 0.204 0.552
Se2 Se 0.118 0.621 0.883
Se3 Se 0.204 0.055 0.052
Se4 Se 0.323 0.465 0.355
Se5 Se 0.379 0.882 0.617
Se6 Se 0.465 0.323 0.855
Se7 Se 0.535 0.677 0.145
Se8 Se 0.621 0.118 0.383
Se9 Se 0.677 0.535 0.645
Se10 Se 0.796 0.945 0.948
Se11 Se 0.882 0.379 0.117
Se12 Se 0.945 0.796 0.448

***

[17]
# BiSbSe2N (PBE, optimized geometry)
# SG: P4/mmm
# E_tot (Ry per atom): -0.30017
# D(E_F) (states/eV/cell): 2.78
# Raw formation energy (meV per atom): 575.6
data_BiSbSe2N
_chemical_formula_sum 'Bi1 Sb1 Se2 N1'
_space_group_name_H-M_alt 'P 1'
_space_group_IT_number 1
_cell_length_a 5.459
_cell_length_b 5.459
_cell_length_c 3.952
_cell_angle_alpha 90.00
_cell_angle_beta 90.00
_cell_angle_gamma 90.00
loop_
_space_group_symop_operation_xyz
'x,y,z'
loop_
_atom_site_label
_atom_site_type_symbol
_atom_site_fract_x
_atom_site_fract_y
_atom_site_fract_z
Bi1 Bi 0.000 0.000 0.000
Sb1 Sb 0.500 0.500 0.500
Se1 Se 0.000 0.500 0.500
Se2 Se 0.500 0.000 0.500
N1 N 0.500 0.500 0.000

***

[18]
# ZnCu2Br (PBE, optimized geometry)
# SG: C2/m
# E_tot (Ry per atom): -0.20134
# D(E_F) (states/eV/cell): 1.30
# Raw formation energy (meV per atom): 45.5
data_ZnCu2Br
_chemical_formula_sum 'Zn1 Cu2 Br1'
_space_group_name_H-M_alt 'P 1'
_space_group_IT_number 1
_cell_length_a 4.185
_cell_length_b 4.185
_cell_length_c 5.919
_cell_angle_alpha 101.43
_cell_angle_beta 101.43
_cell_angle_gamma 58.96
loop_
_space_group_symop_operation_xyz
'x,y,z'
loop_
_atom_site_label
_atom_site_type_symbol
_atom_site_fract_x
_atom_site_fract_y
_atom_site_fract_z
Zn1 Zn 0.000 0.000 0.000
Cu1 Cu 0.346 0.346 0.095
Cu2 Cu 0.654 0.654 0.905
Br1 Br 0.500 0.500 0.500

***

[19]
# CaSc2AgIr (PBE, optimized geometry)
# SG: P4/mmm
# E_tot (Ry per atom): -0.35315
# D(E_F) (states/eV/cell): 4.72
# Energy of formation (eV/atom): 0.471
data_CaSc2AgIr
_chemical_formula_sum 'Ca1 Sc2 Ag1 Ir1'
_space_group_name_H-M_alt 'P 1'
_space_group_IT_number 1
_cell_length_a 5.029
_cell_length_b 5.029
_cell_length_c 5.111
_cell_angle_alpha 90.00
_cell_angle_beta 90.00
_cell_angle_gamma 90.00
loop_
_space_group_symop_operation_xyz
'x,y,z'
loop_
_atom_site_label
_atom_site_type_symbol
_atom_site_fract_x
_atom_site_fract_y
_atom_site_fract_z
Ca1 Ca 0.000 0.000 0.000
Sc1 Sc 0.000 0.500 0.500
Sc2 Sc 0.500 0.000 0.500
Ag1 Ag 0.500 0.500 0.500
Ir1 Ir 0.500 0.500 0.000

***

[20]
# TbDy2Er5Zr (PBE, optimized geometry)
# SG: Cmc2_1
# E_tot (Ry per atom): -0.35586
# D(E_F) (states/eV/cell): 28.10
# Energy of formation (eV/atom): 0.180
data_TbDy2Er5Zr
_chemical_formula_sum 'Tb2 Dy4 Er10 Zr2'
_space_group_name_H-M_alt 'P 1'
_space_group_IT_number 1
_cell_length_a 10.529
_cell_length_b 10.529
_cell_length_c 9.856
_cell_angle_alpha 90.00
_cell_angle_beta 90.00
_cell_angle_gamma 149.77
loop_
_space_group_symop_operation_xyz
'x,y,z'
loop_
_atom_site_label
_atom_site_type_symbol
_atom_site_fract_x
_atom_site_fract_y
_atom_site_fract_z
Tb1 Tb 0.097 0.903 0.500
Tb2 Tb 0.903 0.097 0.000
Dy1 Dy 0.378 0.622 0.789
Dy2 Dy 0.390 0.610 0.372
Dy3 Dy 0.610 0.390 0.872
Dy4 Dy 0.622 0.378 0.289
Er1 Er 0.020 0.980 0.798
Er2 Er 0.133 0.867 0.084
Er3 Er 0.199 0.801 0.761
Er4 Er 0.236 0.764 0.397
Er5 Er 0.483 0.517 0.072
Er6 Er 0.517 0.483 0.572
Er7 Er 0.764 0.236 0.897
Er8 Er 0.801 0.199 0.261
Er9 Er 0.867 0.133 0.584
Er10 Er 0.980 0.020 0.298
Zr1 Zr 0.311 0.689 0.080
Zr2 Zr 0.689 0.311 0.580